(1)
{
  "formula": "TeAuBr2",
  "functional": "PBE",
  "state": "optimized geometry",
  "lattice_angstrom": [[-2.6219, -5.4153, -5.3813], [3.4330, -5.9184, 4.2831], [-2.3680, -6.0319, 1.1696]],
  "species": ["Br", "Br", "Br", "Br", "Au", "Au", "Te", "Te"],
  "fractional_positions": [[0.8750, 0.9175, 0.7500], [0.0825, 0.6250, 0.2500], [0.6675, 0.1250, 0.2500], [0.3750, 0.3325, 0.7500], [0.7500, 0.2500, 0.5000], [0.0000, 0.0000, 0.0000], [0.2500, 0.7500, 0.5000], [0.5000, 0.5000, 0.0000]],
  "dos_ef_per_ev_atom": 0.912,
  "e_form_raw_ev_per_atom": 0.31,
  "space_group": "I-42d",
  "magmom_total_mub_per_cell": 0.000
}

(2)
{
  "formula": "Te2AuBr",
  "functional": "PBE",
  "state": "optimized geometry",
  "lattice_angstrom": [[4.4820, 0.0000, 0.0000], [0.0000, 4.4820, 0.0000], [0.0000, 0.0000, 5.7396]],
  "species": ["Te", "Te", "Br", "Au"],
  "fractional_positions": [[0.5000, 0.5000, 0.1248], [0.0000, 0.0000, 0.1250], [0.5000, 0.5000, 0.6249], [0.0000, 0.0000, 0.6253]],
  "dos_ef_per_ev_atom": 0.416,
  "e_form_raw_ev_per_atom": 0.10,
  "space_group": "P4/mmm",
  "magmom_total_mub_per_cell": 0.000
}

(3)
{
  "formula": "Te3AuBr",
  "functional": "PBE",
  "state": "optimized geometry",
  "lattice_angstrom": [[-0.7505, 9.0014, 0.9035], [-5.2773, 3.9784, 7.2298], [7.1634, 5.3381, 4.0174]],
  "species": ["Te", "Te", "Te", "Te", "Te", "Te", "Te", "Te", "Te", "Te", "Te", "Te", "Br", "Br", "Br", "Br", "Au", "Au", "Au", "Au"],
  "fractional_positions": [[0.5917, 0.9374, 0.7081], [0.4070, 0.6993, 0.6355], [0.5930, 0.3007, 0.3645], [0.8942, 0.9469, 0.4104], [0.9070, 0.6355, 0.6993], [0.0930, 0.3645, 0.3007], [0.6058, 0.5896, 0.0531], [0.9083, 0.2919, 0.0626], [0.0917, 0.7081, 0.9374], [0.3942, 0.4104, 0.9469], [0.1058, 0.0531, 0.5896], [0.4083, 0.0626, 0.2919], [0.2500, 0.9444, 0.0556], [0.2500, 0.2925, 0.7075], [0.7500, 0.0556, 0.9444], [0.7500, 0.7075, 0.2925], [0.3079, 0.5136, 0.2510], [0.6921, 0.4864, 0.7490], [0.8079, 0.2510, 0.5136], [0.1921, 0.7490, 0.4864]],
  "dos_ef_per_ev_atom": 0.379,
  "e_form_raw_ev_per_atom": -0.02,
  "space_group": "C2/c",
  "magmom_total_mub_per_cell": 0.000,
  "polymorph_energy_mev_per_atom": 0.0
}

(4)
{
  "formula": "Te2Au2Br",
  "functional": "PBE",
  "state": "optimized geometry",
  "lattice_angstrom": [[-4.3482, 7.7021, -2.3980], [0.8035, -2.2971, -8.8350], [-2.6300, -1.4425, 0.1358]],
  "species": ["Au", "Au", "Au", "Au", "Te", "Te", "Te", "Te", "Br", "Br"],
  "fractional_positions": [[0.3490, 0.8490, 0.0000], [0.1510, 0.3490, 0.0000], [0.6510, 0.1510, 0.0000], [0.8490, 0.6510, 0.0000], [0.8541, 0.3541, 0.5000], [0.1459, 0.6459, 0.5000], [0.3541, 0.1459, 0.5000], [0.6459, 0.8541, 0.5000], [0.0000, 0.0000, 0.0000], [0.5000, 0.5000, 0.0000]],
  "dos_ef_per_ev_atom": 0.736,
  "e_form_raw_ev_per_atom": 0.22,
  "space_group": "P4/mbm",
  "magmom_total_mub_per_cell": 0.000,
  "polymorph_energy_mev_per_atom": 186.9
}

(5)
{
  "formula": "Te2AuBr",
  "functional": "PBE",
  "state": "optimized geometry",
  "lattice_angstrom": [[-2.3929, 3.9020, 0.5659], [-4.5742, 0.4586, 0.3704], [-0.6359, -0.0264, 7.5630]],
  "species": ["Br", "Te", "Te", "Au"],
  "fractional_positions": [[0.7500, 0.7500, 0.7500], [0.5926, 0.5926, 0.4442], [0.9074, 0.9074, 0.0558], [0.2500, 0.2500, 0.2500]],
  "dos_ef_per_ev_atom": 0.263,
  "e_form_raw_ev_per_atom": -0.12,
  "space_group": "C2/m",
  "magmom_total_mub_per_cell": 0.000
}

(6)
{
  "formula": "Te2AuBr",
  "functional": "PBE",
  "state": "optimized geometry",
  "lattice_angstrom": [[18.7254, 0.0000, 2.4781], [2.1283, 5.7603, -4.7001], [-2.1283, 5.7603, 4.7001]],
  "species": ["Br", "Br", "Br", "Br", "Br", "Br", "Br", "Br", "Te", "Te", "Te", "Te", "Te", "Te", "Te", "Te", "Te", "Te", "Te", "Te", "Te", "Te", "Te", "Te", "Au", "Au", "Au", "Au", "Au", "Au", "Au", "Au"],
  "fractional_positions": [[0.1087, 0.5491, 0.5285], [0.8963, 0.4577, 0.9664], [0.1037, 0.5423, 0.0336], [0.6087, 0.9715, 0.9509], [0.8913, 0.4509, 0.4715], [0.6037, 0.4664, 0.9577], [0.3913, 0.0285, 0.0491], [0.3963, 0.5336, 0.0423], [0.2500, 0.8009, 0.3009], [0.5626, 0.6669, 0.2956], [0.7500, 0.4504, 0.9504], [0.2567, 0.1942, 0.3934], [0.7433, 0.8058, 0.6066], [0.5120, 0.8141, 0.5821], [0.7567, 0.1066, 0.3058], [0.2500, 0.5496, 0.0496], [0.4880, 0.1860, 0.4179], [0.0120, 0.9179, 0.6859], [0.2433, 0.8934, 0.6942], [0.0626, 0.2044, 0.8331], [0.7500, 0.1991, 0.6991], [0.4374, 0.3331, 0.7044], [0.9880, 0.0821, 0.3140], [0.9374, 0.7956, 0.1669], [0.3941, 0.6612, 0.5093], [0.6059, 0.3388, 0.4907], [0.8941, 0.9907, 0.8388], [0.1059, 0.0093, 0.1612], [0.8414, 0.7810, 0.3851], [0.1586, 0.2190, 0.6149], [0.3414, 0.1149, 0.7190], [0.6586, 0.8851, 0.2810]],
  "dos_ef_per_ev_atom": 0.000,
  "e_form_raw_ev_per_atom": -0.05,
  "space_group": "C2/c",
  "magmom_total_mub_per_cell": 0.000
}

(7)
{
  "formula": "Te2AuBr",
  "functional": "PBE",
  "state": "optimized geometry",
  "lattice_angstrom": [[4.1442, -0.0300, 0.0039], [2.0352, 6.3677, -0.1370], [0.0046, 0.5655, 10.9918]],
  "species": ["Au", "Au", "Br", "Br", "Te", "Te", "Te", "Te"],
  "fractional_positions": [[0.0431, 0.3408, 0.3719], [0.0391, 0.3360, 0.6556], [0.6860, 0.0479, 0.1215], [0.3959, 0.6291, 0.9059], [0.6722, 0.0614, 0.3583], [0.4160, 0.6158, 0.3765], [0.6662, 0.0610, 0.6510], [0.4100, 0.6154, 0.6691]],
  "dos_ef_per_ev_atom": 0.209,
  "e_form_raw_ev_per_atom": -0.15,
  "space_group": "P-1",
  "magmom_total_mub_per_cell": 0.000
}

(8)
{
  "formula": "Te2AuBr2",
  "functional": "PBE",
  "state": "optimized geometry",
  "lattice_angstrom": [[4.1166, 0.0000, 0.0000], [-2.0583, 6.0284, 0.5653], [0.0000, -1.6362, 6.0457]],
  "species": ["Te", "Te", "Br", "Br", "Au"],
  "fractional_positions": [[0.5759, 0.1517, 0.2735], [0.4241, 0.8483, 0.7265], [0.7967, 0.5934, 0.2561], [0.2033, 0.4066, 0.7439], [0.0000, 0.0000, 0.0000]],
  "dos_ef_per_ev_atom": 0.360,
  "e_form_raw_ev_per_atom": -0.11,
  "space_group": "C2/m",
  "magmom_total_mub_per_cell": 0.000,
  "polymorph_energy_mev_per_atom": 68.6
}

(9)
{
  "formula": "Te2AuBr",
  "functional": "PBE",
  "state": "optimized geometry",
  "lattice_angstrom": [[18.9638, 0.0000, 2.2257], [0.0000, 5.2733, 0.0000], [-6.0992, 0.0000, 4.5891]],
  "species": ["Au", "Au", "Au", "Au", "Te", "Te", "Te", "Te", "Te", "Te", "Te", "Te", "Br", "Br", "Br", "Br"],
  "fractional_positions": [[0.9268, 0.6900, 0.9600], [0.5732, 0.1900, 0.5400], [0.4268, 0.8100, 0.4600], [0.0732, 0.3100, 0.0400], [0.5707, 0.8758, 0.2429], [0.5630, 0.4683, 0.8309], [0.9293, 0.3758, 0.2571], [0.0630, 0.0317, 0.3309], [0.4370, 0.5317, 0.1691], [0.0707, 0.6242, 0.7429], [0.4293, 0.1242, 0.7571], [0.9370, 0.9683, 0.6691], [0.2101, 0.6371, 0.4108], [0.2899, 0.1371, 0.0892], [0.7899, 0.3629, 0.5892], [0.7101, 0.8629, 0.9108]],
  "dos_ef_per_ev_atom": 0.273,
  "e_form_raw_ev_per_atom": -0.12,
  "space_group": "P2_1/c",
  "magmom_total_mub_per_cell": 0.000
}

(10)
{
  "formula": "TeAuBr3",
  "functional": "PBE",
  "state": "optimized geometry",
  "lattice_angstrom": [[-1.7605, 4.5210, 3.6216], [-8.3165, 2.6129, -7.3046], [-9.2069, -6.8570, 4.0842]],
  "species": ["Br", "Br", "Br", "Br", "Br", "Br", "Br", "Br", "Br", "Br", "Br", "Br", "Au", "Au", "Au", "Au", "Te", "Te", "Te", "Te"],
  "fractional_positions": [[0.0325, 0.3865, 0.2731], [0.3136, 0.3691, 0.0007], [0.5479, 0.3582, 0.6750], [0.9675, 0.6135, 0.7269], [0.4521, 0.6418, 0.3250], [0.5325, 0.1135, 0.2269], [0.8136, 0.1309, 0.4993], [0.1864, 0.8691, 0.5007], [0.9521, 0.8582, 0.1750], [0.6864, 0.6309, 0.9993], [0.4675, 0.8865, 0.7731], [0.0479, 0.1418, 0.8250], [0.8126, 0.6347, 0.4215], [0.3126, 0.8653, 0.0785], [0.1874, 0.3653, 0.5785], [0.6874, 0.1347, 0.9215], [0.8331, 0.3626, 0.4626], [0.6669, 0.8626, 0.9626], [0.1669, 0.6374, 0.5374], [0.3331, 0.1374, 0.0374]],
  "dos_ef_per_ev_atom": 0.000,
  "e_form_raw_ev_per_atom": -0.25,
  "space_group": "P2_1/c",
  "magmom_total_mub_per_cell": 0.000,
  "polymorph_energy_mev_per_atom": 0.0
}

(11)
{
  "formula": "Te6Au2Br",
  "functional": "PBE",
  "state": "optimized geometry",
  "lattice_angstrom": [[8.0875, 0.1644, 0.1592], [2.3464, 9.7771, 1.3997], [2.3464, 1.7158, 9.7267]],
  "species": ["Te", "Te", "Te", "Te", "Te", "Te", "Te", "Te", "Te", "Te", "Te", "Te", "Br", "Br", "Au", "Au", "Au", "Au"],
  "fractional_positions": [[0.8275, 0.9051, 0.4015], [0.1725, 0.0949, 0.5985], [0.7473, 0.1785, 0.2193], [0.9009, 0.5259, 0.6327], [0.2527, 0.8215, 0.7807], [0.0991, 0.4741, 0.3673], [0.6725, 0.5985, 0.0949], [0.2473, 0.2193, 0.1785], [0.4009, 0.6327, 0.5259], [0.5991, 0.3673, 0.4741], [0.3275, 0.4015, 0.9051], [0.7527, 0.7807, 0.8215], [0.2500, 0.2248, 0.7752], [0.7500, 0.7752, 0.2248], [0.0824, 0.6689, 0.7064], [0.9176, 0.3311, 0.2936], [0.4176, 0.2936, 0.3311], [0.5824, 0.7064, 0.6689]],
  "dos_ef_per_ev_atom": 0.152,
  "e_form_raw_ev_per_atom": 0.00,
  "space_group": "C2/c",
  "magmom_total_mub_per_cell": 0.000
}

(12)
{
  "formula": "TeAuBr",
  "functional": "PBE",
  "state": "optimized geometry",
  "lattice_angstrom": [[7.7235, -0.0011, 0.0006], [5.9204, 3.7837, -0.0184], [1.8031, -1.8418, 3.3065]],
  "species": ["Te", "Br", "Au"],
  "fractional_positions": [[0.6352, 0.6352, 0.3648], [0.3658, 0.3658, 0.6342], [0.9990, 0.9990, 0.0010]],
  "dos_ef_per_ev_atom": 0.530,
  "e_form_raw_ev_per_atom": -0.02,
  "space_group": "Fmm2",
  "magmom_total_mub_per_cell": 0.000
}

(13)
{
  "formula": "Te2AuBr",
  "functional": "PBE",
  "state": "optimized geometry",
  "lattice_angstrom": [[-1.2504, -3.2984, -0.5452], [3.6697, -0.4492, -5.6991], [3.5335, -1.7383, 2.4122]],
  "species": ["Te", "Te", "Au", "Br"],
  "fractional_positions": [[0.0000, 0.0000, 0.0000], [0.5000, 0.5000, 0.0000], [0.5000, 0.0000, 0.5000], [0.0000, 0.5000, 0.5000]],
  "dos_ef_per_ev_atom": 0.648,
  "e_form_raw_ev_per_atom": 0.26,
  "space_group": "Pmmm",
  "magmom_total_mub_per_cell": 0.000
}

(14)
{
  "formula": "Te2AuBr",
  "functional": "PBE",
  "state": "optimized geometry",
  "lattice_angstrom": [[1.8921, 0.0000, 12.1412], [-0.9461, 1.6386, 12.1412], [-0.9461, -1.6386, 12.1412]],
  "species": ["Te", "Te", "Au", "Br"],
  "fractional_positions": [[0.0723, 0.0723, 0.0723], [0.9277, 0.9277, 0.9277], [0.0000, 0.0000, 0.0000], [0.5000, 0.5000, 0.5000]],
  "dos_ef_per_ev_atom": 0.581,
  "e_form_raw_ev_per_atom": 0.14,
  "space_group": "R-3m",
  "magmom_total_mub_per_cell": 0.000
}

(15)
{
  "formula": "TeAuBr3",
  "functional": "PBE",
  "state": "optimized geometry",
  "lattice_angstrom": [[7.3946, 0.0000, 0.3457], [0.0000, 7.2351, 0.0000], [-0.3643, 0.0000, 15.6155]],
  "species": ["Br", "Br", "Br", "Br", "Br", "Br", "Br", "Br", "Br", "Br", "Br", "Br", "Au", "Au", "Au", "Au", "Te", "Te", "Te", "Te"],
  "fractional_positions": [[0.7292, 0.7802, 0.6992], [0.8935, 0.4212, 0.8875], [0.2708, 0.2198, 0.3008], [0.7126, 0.8400, 0.9822], [0.1065, 0.5788, 0.1125], [0.2708, 0.7802, 0.8008], [0.7126, 0.1600, 0.4822], [0.2874, 0.1600, 0.0178], [0.7292, 0.2198, 0.1992], [0.1065, 0.4212, 0.6125], [0.2874, 0.8400, 0.5178], [0.8935, 0.5788, 0.3875], [0.9779, 0.7940, 0.8855], [0.0221, 0.7940, 0.6145], [0.9779, 0.2060, 0.3855], [0.0221, 0.2060, 0.1145], [0.9082, 0.8597, 0.1673], [0.9082, 0.1403, 0.6673], [0.0918, 0.1403, 0.8327], [0.0918, 0.8597, 0.3327]],
  "dos_ef_per_ev_atom": 0.465,
  "e_form_raw_ev_per_atom": -0.16,
  "space_group": "P2/c",
  "magmom_total_mub_per_cell": 0.000,
  "polymorph_energy_mev_per_atom": 88.2
}

(16)
{
  "formula": "TeAuBr2",
  "functional": "PBE",
  "state": "optimized geometry",
  "lattice_angstrom": [[3.9995, 0.0000, 0.0000], [0.0000, 7.9240, 0.0000], [0.0000, 0.0000, 4.0778]],
  "species": ["Au", "Br", "Br", "Te"],
  "fractional_positions": [[0.0000, 0.5000, 0.5000], [0.5000, 0.5000, 0.0000], [0.0000, 0.0000, 0.0000], [0.5000, 0.0000, 0.5000]],
  "dos_ef_per_ev_atom": 0.424,
  "e_form_raw_ev_per_atom": 0.27,
  "space_group": "Pmmm",
  "magmom_total_mub_per_cell": 0.000
}

(17)
{
  "formula": "TeAuBr3",
  "functional": "PBE",
  "state": "optimized geometry",
  "lattice_angstrom": [[-3.7636, -0.2165, 3.8544], [1.0925, -5.2227, 0.7733], [3.7027, 1.3208, 3.6897]],
  "species": ["Te", "Br", "Br", "Br", "Au"],
  "fractional_positions": [[0.5000, 0.5000, 0.5000], [0.5000, 0.0000, 0.0000], [0.0000, 0.5000, 0.0000], [0.0000, 0.0000, 0.5000], [0.0000, 0.0000, 0.0000]],
  "dos_ef_per_ev_atom": 0.421,
  "e_form_raw_ev_per_atom": 0.28,
  "space_group": "Pm-3m",
  "magmom_total_mub_per_cell": 2.927,
  "polymorph_energy_mev_per_atom": 523.0
}

(18)
{
  "formula": "TeAuBr2",
  "functional": "PBE",
  "state": "optimized geometry",
  "lattice_angstrom": [[6.1503, 0.0190, 0.1227], [5.0923, 3.4488, 0.1227], [4.7699, 1.4713, 5.9552]],
  "species": ["Te", "Au", "Br", "Br"],
  "fractional_positions": [[0.7500, 0.7500, 0.7500], [0.2500, 0.2500, 0.2500], [0.9688, 0.9688, 0.0312], [0.5312, 0.5312, 0.4688]],
  "dos_ef_per_ev_atom": 0.879,
  "e_form_raw_ev_per_atom": 0.21,
  "space_group": "C2/m",
  "magmom_total_mub_per_cell": 0.066
}

(19)
{
  "formula": "Te2AuBr",
  "functional": "PBE",
  "state": "optimized geometry",
  "lattice_angstrom": [[5.2341, 0.0845, 0.1417], [-1.9314, 4.8719, -0.0523], [1.3714, 2.5949, 4.3509]],
  "species": ["Au", "Te", "Te", "Br"],
  "fractional_positions": [[0.0000, 0.5000, 0.5000], [0.5000, 0.0000, 0.5000], [0.0000, 0.0000, 0.0000], [0.5000, 0.5000, 0.0000]],
  "dos_ef_per_ev_atom": 0.239,
  "e_form_raw_ev_per_atom": 0.11,
  "space_group": "C2/m",
  "magmom_total_mub_per_cell": 0.000
}

(20)
{
  "formula": "TeAuBr4",
  "functional": "PBE",
  "state": "optimized geometry",
  "lattice_angstrom": [[-0.8291, 4.0623, 4.6385], [-2.5147, 5.5717, -1.1569], [-5.7434, 1.2983, 2.0086]],
  "species": ["Br", "Br", "Br", "Br", "Au", "Te"],
  "fractional_positions": [[0.3741, 0.3741, 0.8777], [0.3741, 0.3741, 0.3741], [0.8777, 0.3741, 0.3741], [0.3741, 0.8777, 0.3741], [0.0000, 0.0000, 0.0000], [0.7500, 0.7500, 0.7500]],
  "dos_ef_per_ev_atom": 1.222,
  "e_form_raw_ev_per_atom": 0.88,
  "space_group": "F-43m",
  "magmom_total_mub_per_cell": 1.278
}